## Li2CaMgF (GGA-PBE)

Data for an optimized crystal structure of Li2CaMgF.

## Properties
The density of states at the Fermi level comes out at 1.7 states/eV per cell. The calculation puts the energy relative to the elements, uncorrected at -505.9 kJ/mol of formula units.

a = 4.7814 Å, b = 4.7814 Å, c = 4.5773 Å
α = 90.00°, β = 90.00°, γ = 90.00°
With the nearest neighbours (Å) after each atom.
Space group P4/mmm (No. 123)
Unique sites:
1 Li 0.0000 0.5000 0.0000 [2 per cell]  2 F 2.39
2 Ca 0.0000 0.0000 0.5000 [1 per cell]  2 F 2.29
3 Mg 0.5000 0.5000 0.5000 [1 per cell]  8 Li 3.31, 4 Ca 3.38
4 F 0.0000 0.0000 0.0000 [1 per cell]  2 Ca 2.29, 4 Li 2.39